First-principles (PBE-GGA) data for a relaxed structure of RbCuMoPt, as listed in the Open Quantum Materials Database.

a b c (Å): 4.850 4.850 4.850
angles (deg): 60.00 60.00 60.00
Sites, in units of the cell vectors:
Cu1 0.750 0.750 0.750
Pt1 0.000 0.000 0.000
Rb1 0.250 0.250 0.250
Mo1 0.500 0.500 0.500

Size of the total moment in μB per cell: 4.02
SG: F-43m
Crystal system: cubic
E_tot in eV per atom: -4.0030
Energy above the lowest structure with this stoichiometry in kJ/mol of formula units: 105

***

First-principles (PBE-GGA) data for a relaxed structure of TaGaCo, as listed in the Open Quantum Materials Database.

a b c (Å): 4.192 4.192 4.192
angles (deg): 60.00 60.00 60.00
Sites, in units of the cell vectors:
Ga1 0.750 0.750 0.750
Co1 0.250 0.250 0.250
Ta1 0.000 0.000 0.000

Size of the total moment in μB per cell: 0.04
SG: F-43m
Crystal system: cubic
E_tot in eV per atom: -6.8313

***

First-principles (PBE-GGA) data for a relaxed structure of TcBi2Os, as listed in the Open Quantum Materials Database.

a b c (Å): 4.878 4.878 4.878
angles (deg): 60.00 60.00 60.00
Sites, in units of the cell vectors:
Os1 0.000 0.000 0.000
Bi1 0.750 0.750 0.750
Bi2 0.500 0.500 0.500
Tc1 0.250 0.250 0.250

Size of the total moment in μB per cell: 0.14
SG: F-43m
Crystal system: cubic
E_tot in eV per atom: -6.2472

***

First-principles (PBE-GGA) data for a relaxed structure of La2B4IrPd4, as listed in the Open Quantum Materials Database.

a b c (Å): 7.769 6.335 5.954
angles (deg): 78.35 53.00 48.65
Sites, in units of the cell vectors:
B1 0.976 0.281 0.719
B2 0.024 0.719 0.281
B3 0.281 0.976 0.024
B4 0.719 0.024 0.976
Pd1 0.500 0.500 0.000
Pd2 0.000 0.000 0.500
Pd3 0.750 0.750 0.750
Pd4 0.250 0.250 0.250
Ir1 0.000 0.000 0.000
La1 0.348 0.348 0.652
La2 0.652 0.652 0.348

Size of the total moment in μB per cell: 0.01
SG: Fmmm
Crystal system: orthorhombic
E_tot in eV per atom: -6.4156

***

First-principles (PBE-GGA) data for a relaxed structure of HoInHgTe3, as listed in the Open Quantum Materials Database.

a b c (Å): 11.506 4.431 15.062
angles (deg): 90.00 90.00 90.00
Sites, in units of the cell vectors:
Hg1 0.243 0.250 0.784
Hg2 0.757 0.750 0.216
Hg3 0.743 0.250 0.716
Hg4 0.257 0.750 0.284
Te1 0.059 0.750 0.393
Te2 0.037 0.250 0.888
Te3 0.537 0.250 0.612
Te4 0.441 0.250 0.893
Te5 0.941 0.250 0.607
Te6 0.963 0.750 0.112
Te7 0.261 0.250 0.161
Te8 0.739 0.750 0.839
Te9 0.463 0.750 0.388
Te10 0.239 0.750 0.661
Te11 0.761 0.250 0.339
Te12 0.559 0.750 0.107
Ho1 0.512 0.250 0.247
Ho2 0.988 0.750 0.747
Ho3 0.012 0.250 0.253
Ho4 0.488 0.750 0.753
In1 0.267 0.250 0.488
In2 0.767 0.250 0.012
In3 0.233 0.750 0.988
In4 0.733 0.750 0.512

Size of the total moment in μB per cell: 0.02
SG: Pnma
Crystal system: orthorhombic
E_tot in eV per atom: -3.4917
Energy above the lowest structure with this stoichiometry in kJ/mol of formula units: 15

***

First-principles (PBE-GGA) data for a relaxed structure of NbHgO3, as listed in the Open Quantum Materials Database.

a b c (Å): 3.985 3.985 4.152
angles (deg): 90.00 90.00 90.00
Sites, in units of the cell vectors:
O1 0.500 0.500 0.267
O2 0.000 0.500 0.757
O3 0.500 0.000 0.757
Hg1 0.000 0.000 0.301
Nb1 0.500 0.500 0.818

Size of the total moment in μB per cell: 0.00
SG: P4mm
Crystal system: tetragonal
E_tot in eV per atom: -6.6665

***

First-principles (PBE-GGA) data for a relaxed structure of LiScHgO3, as listed in the Open Quantum Materials Database.

a b c (Å): 7.193 7.193 6.123
angles (deg): 90.00 90.00 24.84
Sites, in units of the cell vectors:
Sc1 0.000 0.000 0.000
Sc2 0.000 0.000 0.500
Hg1 0.702 0.702 0.250
Hg2 0.298 0.298 0.750
O1 0.500 0.500 0.250
O2 0.147 0.147 0.522
O3 0.853 0.853 0.478
O4 0.147 0.147 0.978
O5 0.853 0.853 0.022
O6 0.500 0.500 0.750
Li1 0.360 0.360 0.250
Li2 0.640 0.640 0.750

Size of the total moment in μB per cell: 0.00
SG: Cmcm
Crystal system: orthorhombic
E_tot in eV per atom: -5.7812

***

First-principles (PBE-GGA) data for a relaxed structure of ErSc3C2S2, as listed in the Open Quantum Materials Database.

a b c (Å): 3.505 3.505 12.154
angles (deg): 90.00 90.00 120.00
Sites, in units of the cell vectors:
S1 0.000 0.000 0.253
S2 0.333 0.667 0.740
C1 0.667 0.333 0.497
C2 0.667 0.333 0.008
Sc1 0.333 0.667 0.109
Sc2 0.000 0.000 0.597
Sc3 0.333 0.667 0.397
Er1 0.000 0.000 0.898

Size of the total moment in μB per cell: 0.01
SG: P3m1
Crystal system: trigonal
E_tot in eV per atom: -7.5746